1.
A relaxed structure of BaW2Se. Source: Alexandria, functional GGA-PBE.

**E_form (uncorrected)**: 0.809 eV/atom
**Mass density**: 9.537 g cm⁻³
**Calculated volume**: 101.7 Å³/cell

a = 6.034 Å, b = 6.034 Å, c = 6.034 Å
α = 147.36°, β = 119.40°, γ = 70.55°
Site moments in Bohr magnetons follow the coordinates.
Positions (direct):
Ba1 0.493 0.493 0.000  0.02
Se1 0.203 0.703 0.500  -0.01
W1 0.992 0.992 0.000  -0.14
W2 0.812 0.312 0.500  0.27



2.
A relaxed structure of BaWSe. Source: Alexandria, functional GGA-PBE.

**E_form (uncorrected)**: 0.976 eV/atom
**Energy relative to the lowest polymorph listed for this composition**: 750 meV per atom
**Mass density**: 6.496 g cm⁻³
**Calculated volume**: 102.3 Å³/cell

a = 5.249 Å, b = 5.249 Å, c = 5.249 Å
α = 60.00°, β = 60.00°, γ = 60.00°
Site moments in Bohr magnetons follow the coordinates.
Positions (direct):
Ba1 0.500 0.500 0.500  0.18
Se1 0.750 0.750 0.750  0.13
W1 0.000 0.000 0.000  3.40



3.
A relaxed structure of BaW2Se. Source: Alexandria, functional GGA-PBE.

**E_form (uncorrected)**: 1.107 eV/atom
**Mass density**: 10.927 g cm⁻³
**Calculated volume**: 88.7 Å³/cell

a = 3.258 Å, b = 3.258 Å, c = 8.359 Å
α = 90.00°, β = 90.00°, γ = 90.00°
Positions (direct):
Ba1 0.500 0.500 0.250
Se1 0.500 0.500 0.750
W1 0.000 0.000 0.909
W2 0.000 0.000 0.591



4.
A relaxed structure of BaW2Se. Source: Alexandria, functional GGA-PBE.

**E_form (uncorrected)**: 0.424 eV/atom
**Mass density**: 9.892 g cm⁻³
**Calculated volume**: 98.0 Å³/cell

a = 4.623 Å, b = 4.623 Å, c = 6.901 Å
α = 81.66°, β = 81.66°, γ = 42.29°
Positions (direct):
Ba1 0.504 0.504 0.492
Se1 0.269 0.269 0.160
W1 0.000 0.000 0.984
W2 0.727 0.727 0.864



5.
A relaxed structure of Ba2WSe. Source: Alexandria, functional GGA-PBE.

**E_form (uncorrected)**: 0.535 eV/atom
**Mass density**: 5.554 g cm⁻³
**Calculated volume**: 321.4 Å³/cell

a = 8.679 Å, b = 8.679 Å, c = 7.474 Å
α = 54.51°, β = 54.51°, γ = 90.00°
Site moments in Bohr magnetons follow the coordinates.
Positions (direct):
Se1 0.500 0.500 0.000  0.03
Se2 0.250 0.750 0.500  0.03
Ba1 0.608 0.125 0.250  0.03
Ba2 0.142 0.625 0.250  0.03
Ba3 0.375 0.392 0.750  0.02
Ba4 0.875 0.858 0.750  0.02
W1 0.000 0.000 0.000  2.94
W2 0.750 0.250 0.500  2.95



6.
A relaxed structure of Ba2WSe. Source: Alexandria, functional GGA-PBE.

**E_form (uncorrected)**: 0.214 eV/atom
**Mass density**: 7.106 g cm⁻³
**Calculated volume**: 125.6 Å³/cell

a = 7.051 Å, b = 7.051 Å, c = 7.051 Å
α = 149.32°, β = 135.04°, γ = 55.42°
Site moments in Bohr magnetons follow the coordinates.
Positions (direct):
Ba1 0.028 0.028 0.000  0.03
Ba2 0.740 0.240 0.500  0.02
Se1 0.438 0.438 0.000  0.02
W1 0.293 0.793 0.500  1.39



7.
A relaxed structure of BaW2Se. Source: Alexandria, functional GGA-PBE.

**E_form (uncorrected)**: 1.119 eV/atom
**Mass density**: 10.697 g cm⁻³
**Calculated volume**: 90.7 Å³/cell

a = 3.207 Å, b = 4.875 Å, c = 5.798 Å
α = 90.00°, β = 90.00°, γ = 90.00°
Positions (direct):
Ba1 0.500 0.000 0.500
Se1 0.000 0.500 0.500
W1 0.000 0.000 0.000
W2 0.500 0.500 0.000



8.
A relaxed structure of Ba2WSe. Source: Alexandria, functional GGA-PBE.

**E_form (uncorrected)**: 0.256 eV/atom
**Mass density**: 6.781 g cm⁻³
**Calculated volume**: 131.6 Å³/cell

a = 4.006 Å, b = 4.007 Å, c = 8.199 Å
α = 90.00°, β = 90.00°, γ = 90.00°
Site moments in Bohr magnetons follow the coordinates.
Positions (direct):
Ba1 0.000 0.000 0.016  0.06
Ba2 0.000 0.000 0.484  0.06
Se1 0.500 0.500 0.250  0.05
W1 0.500 0.500 0.750  2.55